Record 1
The following is a PBE calculation of a relaxed structure of KCeRuO6, from Alexandria via LeMat-Bulk.

The uncorrected formation energy is -1.70 eV per atom. For the size of the total moment, the calculation gives 0.99 μB per formula unit. As for the space-group type: No. 149.

```
9
Lattice="5.614 0.000 0.000 -2.807 4.862 0.000 0.000 0.000 5.818" Properties=species:S:1:pos:R:3 pbc="T T T"
K 0.000 0.000 0.000
Ce 0.000 3.241 2.909
Ru 2.807 1.621 2.909
O 2.123 0.198 3.991
O 1.233 1.739 1.827
O 3.491 0.198 1.827
O 1.917 2.925 3.991
O 4.381 1.739 3.991
O 3.697 2.925 1.827
```

Record 2
The following is a PBE calculation of a relaxed structure of LaTmSbO2, from Alexandria via LeMat-Bulk.

The uncorrected formation energy is -2.73 eV per atom. For the size of the total moment, the calculation gives 0.00 μB per formula unit. As for the space-group type: No. 63.

```
10
Lattice="2.790 -6.816 0.000 2.790 6.816 0.000 0.000 0.000 5.553" Properties=species:S:1:pos:R:3 pbc="T T T"
La 2.790 5.546 4.165
La 2.790 -5.546 1.388
Tm 2.790 1.043 4.165
Tm 2.790 -1.043 1.388
Sb 2.790 3.412 1.388
Sb 2.790 -3.412 4.165
O 1.446 0.000 0.000
O 1.446 0.000 2.777
O 4.133 0.000 0.000
O 4.133 0.000 2.777
```

Record 3
The following is a PBE calculation of a relaxed structure of Ga2CuRe, from Alexandria via LeMat-Bulk.

For the size of the total moment, the calculation gives 0.00 μB per formula unit. As for the space-group type: No. 123.

```
4
Lattice="4.193 0.000 0.000 0.000 4.193 0.000 0.000 0.000 3.224" Properties=species:S:1:pos:R:3 pbc="T T T"
Ga 0.000 2.097 0.000
Ga 2.097 0.000 0.000
Cu 0.000 0.000 1.612
Re 2.097 2.097 1.612
```

Record 4
The following is a PBE calculation of a relaxed structure of Cs2Ge2Rh, from Alexandria via LeMat-Bulk.

For the size of the total moment, the calculation gives 0.00 μB per formula unit. As for the space-group type: No. 127.

```
10
Lattice="6.721 0.000 0.000 0.000 6.721 0.000 0.000 0.000 6.255" Properties=species:S:1:pos:R:3 pbc="T T T"
Cs 1.245 2.116 0.000
Cs 2.116 5.476 0.000
Cs 4.605 1.245 0.000
Cs 5.476 4.605 0.000
Ge 0.966 4.327 3.128
Ge 2.394 0.966 3.128
Ge 4.327 5.755 3.128
Ge 5.755 2.394 3.128
Rh 0.000 0.000 3.128
Rh 3.360 3.360 3.128
```

Record 5
The following is a PBE calculation of a relaxed structure of PaCoH6Pt, from Alexandria via LeMat-Bulk.

For the size of the total moment, the calculation gives 0.61 μB per formula unit. As for the space-group type: No. 187.

```
9
Lattice="4.530 0.000 0.000 -2.265 3.923 0.000 0.000 0.000 4.130" Properties=species:S:1:pos:R:3 pbc="T T T"
Pa 0.000 0.000 0.000
Co 2.265 1.308 2.065
H 2.265 0.118 0.928
H 2.265 0.118 3.203
H 1.234 1.903 0.928
H 1.234 1.903 3.203
H 3.295 1.903 0.928
H 3.295 1.903 3.203
Pt 0.000 2.615 2.065
```

Record 6
The following is a PBE calculation of a relaxed structure of NbBAs2C, from Alexandria via LeMat-Bulk.

For the size of the total moment, the calculation gives 0.00 μB per formula unit. As for the space-group type: No. 123.

```
5
Lattice="5.035 0.000 0.000 0.000 5.035 0.000 0.000 0.000 4.123" Properties=species:S:1:pos:R:3 pbc="T T T"
Nb 0.000 0.000 0.000
B 2.518 2.518 2.062
As 0.000 2.518 0.000
As 2.518 0.000 0.000
C 0.000 0.000 2.062
```

Total energy values, unit eV/atom, following the record order: -6.8199 -7.4148 -5.5545 -3.5439 -4.9686 -5.3757.